# 1
Computed, not measured: a PBEsol-optimized structure of CdPt2Pb at the meta-GGA SCAN level of DFT.

Properties
- E_tot: -2.2660 hartree per atom
- Fermi-level density of states: 1.9 states/eV/f.u.
- Offset from the most stable computed form: 148 meV/atom
- Calculated formation energy: -0.016 eV per atom

Lattice parameters (Å, degrees): 3.5868 4.5068 4.5068 90.00 90.00 90.00
Last column: nearest neighbours and their distance in Å.
Positions (direct):
Pb 0.5000 0.0000 0.0000  8 Pt 2.88, 4 Cd 3.19
Pt 0.0000 0.0000 0.5000  4 Cd 2.88, 4 Pb 2.88, 4 Pt 3.19
Pt 0.0000 0.5000 0.0000  4 Cd 2.88, 4 Pb 2.88, 4 Pt 3.19
Cd 0.5000 0.5000 0.5000  8 Pt 2.88, 4 Pb 3.19



# 2
Computed, not measured: a PBEsol-optimized structure of Li2AgIr at the meta-GGA SCAN level of DFT.

Properties
- E_tot: -0.9721 hartree per atom
- Fermi-level density of states: 3.0 states/eV/f.u.
- Calculated formation energy: 0.359 eV per atom

Lattice parameters (Å, degrees): 5.2708 5.3546 5.3546 75.98 60.52 60.52
Last column: nearest neighbours and their distance in Å.
Positions (direct):
Ir 0.0000 0.0000 0.0000  4 Li 2.42, 2 Ag 2.64
Ir 0.7500 0.5000 0.5000  4 Li 2.42, 2 Ag 2.64
Ag 0.5000 0.0000 0.0000  4 Li 2.42, 2 Ir 2.64
Ag 0.2500 0.5000 0.5000  4 Li 2.42, 2 Ir 2.64
Li 0.8750 0.0005 0.4995  2 Ir 2.42, 2 Ag 2.42, 2 Li 2.64
Li 0.3750 0.9995 0.5005  2 Ir 2.42, 2 Ag 2.42, 2 Li 2.64
Li 0.6255 0.4995 0.9995  2 Ir 2.42, 2 Ag 2.42, 2 Li 2.64
Li 0.1245 0.5005 0.0005  2 Ir 2.42, 2 Ag 2.42, 2 Li 2.64



# 3
Computed, not measured: a PBEsol-optimized structure of Er2Si4Mo3 at the meta-GGA SCAN level of DFT.

Properties
- E_tot: -1.0271 hartree per atom
- Fermi-level density of states: 3.2 states/eV/f.u.

Lattice parameters (Å, degrees): 6.6573 6.7671 6.8257 90.00 90.00 108.95
Last column: nearest neighbours and their distance in Å.
Positions (direct):
Er 0.4388 0.8098 0.3304  7 Si 2.76-2.99
Er 0.0612 0.1902 0.8304  7 Si 2.76-2.99
Er 0.5612 0.1902 0.6696  7 Si 2.76-2.99
Er 0.9388 0.8098 0.1696  7 Si 2.76-2.99
Si 0.1336 0.9111 0.5436  4 Mo 2.52-2.65, 1 Si 2.52, 1 Er 2.76
Si 0.3664 0.0889 0.0436  4 Mo 2.52-2.65, 1 Si 2.52, 1 Er 2.76
Si 0.8664 0.0889 0.4564  4 Mo 2.52-2.65, 1 Si 2.52, 1 Er 2.76
Si 0.6336 0.9111 0.9564  4 Mo 2.52-2.65, 1 Si 2.52, 1 Er 2.76
Si 0.1289 0.4971 0.1316  1 Si 2.49, 5 Mo 2.50-2.66, 1 Er 2.78
Si 0.3711 0.5029 0.6316  1 Si 2.49, 5 Mo 2.50-2.66, 1 Er 2.78
Si 0.8711 0.5029 0.8684  1 Si 2.49, 5 Mo 2.50-2.66, 1 Er 2.78
Si 0.6289 0.4971 0.3684  1 Si 2.49, 5 Mo 2.50-2.66, 1 Er 2.78
Mo 0.0000 0.5000 0.5000  6 Si 2.62-2.66
Mo 0.5000 0.5000 0.0000  6 Si 2.62-2.66
Mo 0.2516 0.7509 0.8365  6 Si 2.50-2.60
Mo 0.2484 0.2491 0.3365  6 Si 2.50-2.60
Mo 0.7484 0.2491 0.1635  6 Si 2.50-2.60
Mo 0.7516 0.7509 0.6635  6 Si 2.50-2.60



# 4
Computed, not measured: a PBEsol-optimized structure of Sr2ReRu at the meta-GGA SCAN level of DFT.

Properties
- E_tot: -1.3632 hartree per atom
- Fermi-level density of states: 2.7 states/eV/f.u.
- Offset from the most stable computed form: 39 meV/atom
- Calculated formation energy: 0.525 eV per atom

Lattice parameters (Å, degrees): 3.3770 3.7593 9.1290 101.88 100.66 90.00
Last column: nearest neighbours and their distance in Å.
Positions (direct):
Re 0.5000 0.0000 0.0000  4 Ru 2.53
Ru 0.0000 0.5000 0.0000  4 Re 2.53
Sr 0.6478 0.6478 0.2955  2 Ru 3.09, 2 Re 3.20, 2 Sr 3.38
Sr 0.3522 0.3522 0.7045  2 Ru 3.09, 2 Re 3.20, 2 Sr 3.38



# 5
Computed, not measured: a PBEsol-optimized structure of K2OsRu at the meta-GGA SCAN level of DFT.

Properties
- E_tot: -1.0877 hartree per atom
- Fermi-level density of states: 2.6 states/eV/f.u.
- Offset from the most stable computed form: 592 meV/atom
- Calculated formation energy: 1.244 eV per atom

Lattice parameters (Å, degrees): 2.7432 2.7432 11.4874 83.14 83.14 60.00
Last column: nearest neighbours and their distance in Å.
Positions (direct):
K 0.2504 0.2504 0.2487  6 K 2.74
K 0.7496 0.7496 0.7513  6 K 2.74
Os 0.5000 0.5000 0.5000  6 Os 2.74
Ru 0.0000 0.0000 0.0000  6 Ru 2.74



# 6
Computed, not measured: a PBEsol-optimized structure of RbGa3Ru at the meta-GGA SCAN level of DFT.

Properties
- E_tot: -0.7820 hartree per atom
- Fermi-level density of states: 0.4 states/eV/f.u.
- Calculated formation energy: -0.358 eV per atom

Lattice parameters (Å, degrees): 4.8268 4.8268 4.8268 90.00 90.00 90.00
Last column: nearest neighbours and their distance in Å.
Positions (direct):
Ru 0.0000 0.0000 0.0000  6 Ga 2.41
Ga 0.0000 0.5000 0.0000  2 Ru 2.41
Ga 0.0000 0.0000 0.5000  2 Ru 2.41
Ga 0.5000 0.0000 0.0000  2 Ru 2.41
Rb 0.5000 0.5000 0.5000  12 Ga 3.41



# 7
Computed, not measured: a PBEsol-optimized structure of SrEu3Ni2O8 at the meta-GGA SCAN level of DFT.

Properties
- E_tot: -0.7891 hartree per atom
- Fermi-level density of states: 22.7 states/eV/f.u.

Lattice parameters (Å, degrees): 5.3092 5.3205 6.5260 114.06 90.00 90.00
Last column: nearest neighbours and their distance in Å.
Positions (direct):
Sr 0.0000 0.6420 0.2841  5 O 2.38-2.58
Eu 0.5000 0.1382 0.2764  5 O 2.33-2.50
Eu 0.5000 0.8598 0.7196  5 O 2.32-2.46
Eu 0.0000 0.3618 0.7235  5 O 2.32-2.50
Ni 0.5000 0.5018 0.0035  6 O 1.88-2.00
Ni 0.0000 0.0027 0.0054  6 O 1.88-1.96
O 0.5000 0.3338 0.6676  1 Ni 2.00
O 0.0000 0.8418 0.6835  1 Ni 1.92
O 0.0000 0.1670 0.3339  1 Ni 1.96
O 0.5000 0.6651 0.3302  1 Ni 1.95
O 0.7456 0.7505 0.9931  2 Ni 1.88
O 0.2544 0.2426 0.9931  2 Ni 1.88
O 0.2544 0.7505 0.9931  2 Ni 1.88
O 0.7456 0.2426 0.9931  2 Ni 1.88



# 8
Computed, not measured: a PBEsol-optimized structure of Li2BeRh at the meta-GGA SCAN level of DFT.

Properties
- E_tot: -0.4057 hartree per atom
- Fermi-level density of states: 1.0 states/eV/f.u.
- Calculated formation energy: -0.314 eV per atom

Lattice parameters (Å, degrees): 2.9600 3.6173 4.1927 90.00 90.00 90.00
Last column: nearest neighbours and their distance in Å.
Positions (direct):
Be 0.0000 0.5000 0.5000  4 Rh 2.34, 4 Li 2.57
Rh 0.5000 0.0000 0.5000  4 Be 2.34, 4 Li 2.57
Li 0.0000 0.0000 0.0000  4 Li 2.34, 4 Rh 2.57
Li 0.5000 0.5000 0.0000  4 Li 2.34, 4 Be 2.57



# 9
Computed, not measured: a PBEsol-optimized structure of MgPWCl2 at the meta-GGA SCAN level of DFT.

Properties
- E_tot: -0.7382 hartree per atom
- Fermi-level density of states: 2.5 states/eV/f.u.

Lattice parameters (Å, degrees): 4.8153 4.7001 4.7001 90.00 90.00 90.00
Last column: nearest neighbours and their distance in Å.
Positions (direct):
P 0.5000 0.0000 0.0000  2 W 2.41
Mg 0.5000 0.5000 0.5000  4 P 3.32, 8 Cl 3.36
W 0.0000 0.0000 0.0000  4 Cl 2.35, 2 P 2.41
Cl 0.0000 0.0000 0.5000  2 W 2.35
Cl 0.0000 0.5000 0.0000  2 W 2.35



# 10
Computed, not measured: a PBEsol-optimized structure of MnAs4Au at the meta-GGA SCAN level of DFT.

Properties
- E_tot: -1.0144 hartree per atom
- Fermi-level density of states: 2.0 states/eV/f.u.
- Calculated formation energy: 0.427 eV per atom

Lattice parameters (Å, degrees): 5.4341 5.4341 5.4341 60.00 60.00 60.00
Last column: nearest neighbours and their distance in Å.
Positions (direct):
As 0.3762 0.3762 0.3762  6 As 2.69-2.74
As 0.3762 0.3762 0.8715  6 As 2.69-2.74
As 0.8715 0.3762 0.3762  6 As 2.69-2.74
As 0.3762 0.8715 0.3762  6 As 2.69-2.74
Au 0.7500 0.7500 0.7500  12 As 3.18, 4 Mn 3.33
Mn 0.0000 0.0000 0.0000  12 As 3.19, 4 Au 3.33



# 11
Computed, not measured: a PBEsol-optimized structure of BeFeHg3 at the meta-GGA SCAN level of DFT.

Properties
- E_tot: -1.6442 hartree per atom
- Fermi-level density of states: 4.6 states/eV/f.u.
- Calculated formation energy: 0.655 eV per atom

Lattice parameters (Å, degrees): 4.5784 4.5784 4.5784 90.00 90.00 90.00
Last column: nearest neighbours and their distance in Å.
Positions (direct):
Be 0.0000 0.0000 0.0000  6 Hg 2.29
Hg 0.0000 0.5000 0.0000  2 Be 2.29
Hg 0.0000 0.0000 0.5000  2 Be 2.29
Hg 0.5000 0.0000 0.0000  2 Be 2.29
Fe 0.5000 0.5000 0.5000  12 Hg 3.24



# 12
Computed, not measured: a PBEsol-optimized structure of NiPIrCl2 at the meta-GGA SCAN level of DFT.

Properties
- E_tot: -0.8108 hartree per atom
- Fermi-level density of states: 4.3 states/eV/f.u.

Lattice parameters (Å, degrees): 4.4032 4.8684 4.8684 90.00 90.00 90.00
Last column: nearest neighbours and their distance in Å.
Positions (direct):
Ni 0.5000 0.5000 0.5000  8 Cl 3.28, 4 P 3.44
Ir 0.0000 0.0000 0.0000  2 P 2.20, 4 Cl 2.43
P 0.5000 0.0000 0.0000  2 Ir 2.20
Cl 0.0000 0.0000 0.5000  2 Ir 2.43
Cl 0.0000 0.5000 0.0000  2 Ir 2.43



Question: The highest Fermi-level density of states belongs to which entry?
Answer: SrEu3Ni2O8



Question: What is the Fermi-level density of states in the first record?
Answer: 1.9 states/eV/f.u.



Question: Among the records above, which one has the highest Fermi-level density of states?
Answer: SrEu3Ni2O8



Question: Among the records above, which one has the highest E_tot?
Answer: Li2BeRh